# CdBIr2 (PBE, optimized geometry)
# - Calculated density: 15.13 Mg/m³
# - DFT formation energy: -19 meV/atom
# - Energy above the lowest structure with this stoichiometry: 39 meV per atom
# - Magnetic moment: 0.000 μB/atom
# - Fermi-level density of states: 1.1 states/eV/f.u.
data_CdBIr2
_chemical_formula_sum 'Cd1 B1 Ir2'
_cell_length_a 2.8709
_cell_length_b 2.8709
_cell_length_c 7.9802
_cell_angle_alpha 79.64
_cell_angle_beta 79.64
_cell_angle_gamma 60.00
_symmetry_space_group_name_H-M 'P 1'
_symmetry_Int_Tables_number 1
_symmetry_space_group_name_Hall 'P 1'
loop_
_atom_site_label
_atom_site_fract_x
_atom_site_fract_y
_atom_site_fract_z
B1 0.0000 0.0000 0.0000
Ir1 0.7279 0.7279 0.8163
Ir2 0.2721 0.2721 0.1837
Cd1 0.5000 0.5000 0.5000

# CdBIr2 (PBE, optimized geometry)
# - Calculated density: 15.46 Mg/m³
# - DFT formation energy: 106 meV/atom
# - Energy above the lowest structure with this stoichiometry: 164 meV per atom
# - Magnetic moment: 0.000 μB/atom
# - Fermi-level density of states: 3.4 states/eV/f.u.
data_CdBIr2
_chemical_formula_sum 'Cd1 B1 Ir2'
_cell_length_a 2.7879
_cell_length_b 2.7879
_cell_length_c 7.0150
_cell_angle_alpha 90.00
_cell_angle_beta 90.00
_cell_angle_gamma 90.00
_symmetry_space_group_name_H-M 'P 1'
_symmetry_Int_Tables_number 1
_symmetry_space_group_name_Hall 'P 1'
loop_
_atom_site_label
_atom_site_fract_x
_atom_site_fract_y
_atom_site_fract_z
B1 0.5000 0.5000 0.0000
Ir1 0.0000 0.0000 0.8154
Ir2 0.0000 0.0000 0.1846
Cd1 0.5000 0.5000 0.5000

Number 2 is which compound? CdBIr2

Which formula does entry 1 have? CdBIr2